Record 1
Material: Er5Si3
Method: DFT, GGA-PBE
State: optimized geometry

Calculated values
E_form (uncorrected), eV per formula unit: -5.178
Energy above the lowest structure with this stoichiometry, kJ/mol of formula units: 42
Space group: I4/mcm, No. 140

Lattice parameters (Å, degrees): 8.516 8.516 8.516 127.86 127.86 76.85
Fractional positions:
Er 0.000 0.000 0.000
Er 0.024 0.524 0.838
Er 0.186 0.024 0.500
Er 0.314 0.814 0.838
Er 0.476 0.314 0.500
Er 0.500 0.500 0.000
Er 0.524 0.686 0.500
Er 0.686 0.186 0.162
Er 0.814 0.976 0.500
Er 0.976 0.476 0.162
Si 0.127 0.373 0.500
Si 0.250 0.250 0.000
Si 0.373 0.873 0.246
Si 0.627 0.127 0.754
Si 0.750 0.750 0.000
Si 0.873 0.627 0.500

=====

Record 2
Material: TbPm2Hf
Method: DFT, GGA-PBE
State: optimized geometry

Calculated values
ΔH_f (0 K), eV per atom: 0.219
Energy above the lowest structure with this stoichiometry, kJ/mol of formula units: 25
Space group: P4/mmm, No. 123

Lattice parameters (Å, degrees): 4.041 4.041 7.348 90.00 90.00 90.00
Fractional positions:
Tb 0.000 0.000 0.000
Pm 0.500 0.500 0.277
Pm 0.500 0.500 0.723
Hf 0.000 0.000 0.500

=====

Record 3
Material: ZnPtPb
Method: DFT, GGA-PBE
State: optimized geometry

Calculated values
ΔH_f (0 K), eV per atom: -0.015
Space group: P3m1, No. 156

Lattice parameters (Å, degrees): 3.334 3.334 6.439 90.00 90.00 120.00
Fractional positions:
Zn 0.000 0.000 0.000
Pt 0.333 0.667 0.733
Pb 0.667 0.333 0.393

=====

Number 1: calculated volume 373.8 Å³ per cell. Number 2: calculated volume 120.0 Å³ per cell. Number 3: calculated volume 62.0 Å³ per cell.